First-principles (PBE-GGA) data for an optimized crystal structure of PrNp2Si6, as listed in Alexandria via LeMat-Bulk.

a b c (Å): 7.0673 7.0673 3.9529
angles (deg): 90.00 90.00 120.00
Space group P6/mmm (No. 191)
Symmetry-distinct sites (fractional):
Pr  0.0000  0.0000  0.0000 (multiplicity 1)
Np  0.3333  0.6667  0.0000 (multiplicity 2)
Si  0.0000  0.3367  0.5000 (multiplicity 6)

Results
**Raw total energy**: -7.37 eV/atom
**E_form (uncorrected)**: -3.13 eV/f.u.
**Magnetic moment**: 7.600 μB/cell